First-principles (GGA-PBE) data for Sc3Al3RuRh2 after structural relaxation, as listed in the Alexandria database.

Unit cell a=3.2332 b=7.3700 c=7.3700 alpha=120.00 beta=90.00 gamma=90.00
Last column: nearest neighbours and their distance in Å.
Atoms (fractional coordinates):
Rh1 0.5000 0.3333 0.6667  3 Al 2.71, 6 Sc 2.79
Rh2 0.5000 0.6667 0.3333  3 Al 2.71, 6 Sc 2.79
Ru1 0.0000 0.0000 0.0000  6 Al 2.57
Sc1 0.0000 0.3922 0.0000  4 Rh 2.79, 1 Ru 2.89, 6 Al 2.96-3.03
Sc2 0.0000 0.0000 0.3922  4 Rh 2.79, 1 Ru 2.89, 6 Al 2.96-3.03
Sc3 0.0000 0.6078 0.6078  4 Rh 2.79, 1 Ru 2.89, 6 Al 2.96-3.03
Al1 0.5000 0.0000 0.7285  2 Ru 2.57, 2 Rh 2.71
Al2 0.5000 0.7285 0.0000  2 Ru 2.57, 2 Rh 2.71
Al3 0.5000 0.2715 0.2715  2 Ru 2.57, 2 Rh 2.71

Results
Space group: P-62m, No. 189
Volume, Å³/f.u.: 152.1
Raw total energy, eV per atom: -6.8161
Energy of formation from the pure elements, eV/f.u.: -7.14
Fermi-level density of states, states/eV/f.u.: 7.4

First-principles (GGA-PBE) data for CdCoBr2 after structural relaxation, as listed in the Alexandria database.

Unit cell a=6.2460 b=6.2460 c=6.2460 alpha=147.73 beta=103.28 gamma=85.68
Last column: nearest neighbours and their distance in Å.
Atoms (fractional coordinates):
Br1 0.2987 0.7987 0.5000  2 Cd 2.71
Br2 0.9223 0.9223 0.0000  2 Co 2.33
Cd1 0.5261 0.5261 0.0000  2 Co 2.71, 2 Br 2.71
Co1 0.7529 0.2529 0.5000  2 Br 2.33

Results
Space group: Imm2, No. 44
Excess energy over the best structure of this formula in the dataset, eV/atom: 0.172
Volume, Å³/f.u.: 123.3
Raw total energy, eV per atom: -2.7952
Uncorrected formation energy, meV/atom: 47
Fermi-level density of states, states/eV/f.u.: 4.5

First-principles (GGA-PBE) data for Li8HoPd6 after structural relaxation, as listed in the Alexandria database.

Unit cell a=7.9047 b=7.9047 c=6.6564 alpha=53.58 beta=53.58 gamma=60.00
Last column: nearest neighbours and their distance in Å.
Atoms (fractional coordinates):
Pd1 0.9779 0.7149 0.9109  5 Li 2.57-2.73, 1 Ho 2.75, 3 Pd 2.76-2.85
Pd2 0.3962 0.9779 0.9109  5 Li 2.57-2.73, 1 Ho 2.75, 3 Pd 2.76-2.85
Pd3 0.0221 0.2851 0.0891  5 Li 2.57-2.73, 1 Ho 2.75, 3 Pd 2.76-2.85
Pd4 0.6038 0.0221 0.0891  5 Li 2.57-2.73, 1 Ho 2.75, 3 Pd 2.76-2.85
Pd5 0.2851 0.6038 0.0891  5 Li 2.57-2.73, 1 Ho 2.75, 3 Pd 2.76-2.85
Pd6 0.7149 0.3962 0.9109  5 Li 2.57-2.73, 1 Ho 2.75, 3 Pd 2.76-2.85
Li1 0.0629 0.5755 0.5886  4 Pd 2.57-2.73, 1 Li 2.84
Li2 0.3879 0.3879 0.8362  3 Pd 2.61
Li3 0.2270 0.9371 0.4114  4 Pd 2.57-2.73, 1 Li 2.84
Li4 0.7730 0.0629 0.5886  4 Pd 2.57-2.73, 1 Li 2.84
Li5 0.5755 0.7730 0.5886  4 Pd 2.57-2.73, 1 Li 2.84
Li6 0.6121 0.6121 0.1638  3 Pd 2.61
Li7 0.9371 0.4245 0.4114  4 Pd 2.57-2.73, 1 Li 2.84
Li8 0.4245 0.2270 0.4114  4 Pd 2.57-2.73, 1 Li 2.84
Ho1 0.0000 0.0000 0.0000  6 Pd 2.75

Results
Space group: R-3, No. 148
Volume, Å³/f.u.: 262.2
Raw total energy, eV per atom: -3.7512
Energy of formation from the pure elements, eV/f.u.: -5.22
Fermi-level density of states, states/eV/f.u.: 5.3

First-principles (GGA-PBE) data for PrNdCo3 after structural relaxation, as listed in the Alexandria database.

Unit cell a=3.9435 b=4.2154 c=12.2920 alpha=99.87 beta=90.00 gamma=90.00
Last column: nearest neighbours and their distance in Å.
Atoms (fractional coordinates):
Co1 0.2500 0.6626 0.3252  2 Co 2.26
Co2 0.2500 0.3829 0.7659  3 Co 2.26-2.28
Co3 0.7500 0.3374 0.6748  2 Co 2.26
Co4 0.2500 0.4770 0.9539  3 Co 2.27-2.28
Co5 0.7500 0.5230 0.0461  3 Co 2.27-2.28
Co6 0.7500 0.6171 0.2341  3 Co 2.26-2.28
Nd1 0.2500 0.0686 0.1371  12 Co 3.06-3.12
Nd2 0.7500 0.9314 0.8629  12 Co 3.06-3.12
Pr1 0.7500 0.2021 0.4042  7 Co 2.95-3.28
Pr2 0.2500 0.7979 0.5958  7 Co 2.95-3.28

Results
Space group: Cmcm, No. 63
Volume, Å³/f.u.: 100.7
Raw total energy, eV per atom: -6.2359
Energy of formation from the pure elements, eV/f.u.: -0.31
Fermi-level density of states, states/eV/f.u.: 4.6

First-principles (GGA-PBE) data for Ho2ZrSc after structural relaxation, as listed in the Alexandria database.

Unit cell a=4.7292 b=4.7580 c=4.7580 alpha=90.00 beta=90.00 gamma=90.00
Last column: nearest neighbours and their distance in Å.
Atoms (fractional coordinates):
Zr1 0.5000 0.5000 0.5000  8 Ho 3.35, 4 Sc 3.36
Sc1 0.5000 0.0000 0.0000  8 Ho 3.35, 4 Zr 3.36
Ho1 0.0000 0.0000 0.5000  4 Zr 3.35, 4 Sc 3.35, 4 Ho 3.36
Ho2 0.0000 0.5000 0.0000  4 Zr 3.35, 4 Sc 3.35, 4 Ho 3.36

Results
Space group: P4/mmm, No. 123
Excess energy over the best structure of this formula in the dataset, eV/atom: 0.002
Volume, Å³/f.u.: 107.1
Raw total energy, eV per atom: -5.9313
Energy of formation from the pure elements, eV/f.u.: 0.31
Fermi-level density of states, states/eV/f.u.: 5.4

First-principles (GGA-PBE) data for Fe3CuSi after structural relaxation, as listed in the Alexandria database.

Unit cell a=4.2169 b=4.2169 c=4.2169 alpha=90.00 beta=90.00 gamma=90.00
Last column: nearest neighbours and their distance in Å.
Atoms (fractional coordinates):
Fe1 0.0000 0.0000 0.5000  2 Si 2.11
Fe2 0.5000 0.0000 0.0000  2 Si 2.11
Fe3 0.0000 0.5000 0.0000  2 Si 2.11
Si1 0.0000 0.0000 0.0000  6 Fe 2.11
Cu1 0.5000 0.5000 0.5000  12 Fe 2.98

Results
Space group: Pm-3m, No. 221
Excess energy over the best structure of this formula in the dataset, eV/atom: 0.000
Volume, Å³/f.u.: 75.0
Raw total energy, eV per atom: -6.1776
Uncorrected formation energy, meV/atom: 804
Fermi-level density of states, states/eV/f.u.: 12.1

First-principles (GGA-PBE) data for NdPtAu after structural relaxation, as listed in the Alexandria database.

Unit cell a=4.7472 b=4.7472 c=4.7472 alpha=60.00 beta=60.00 gamma=60.00
Last column: nearest neighbours and their distance in Å.
Atoms (fractional coordinates):
Au1 0.0000 0.0000 0.0000  4 Pt 2.91
Nd1 0.5000 0.5000 0.5000  4 Pt 2.91
Pt1 0.2500 0.2500 0.2500  4 Nd 2.91, 4 Au 2.91

Results
Space group: F-43m, No. 216
Excess energy over the best structure of this formula in the dataset, eV/atom: 0.087
Volume, Å³/f.u.: 75.6
Raw total energy, eV per atom: -5.4976
Energy of formation from the pure elements, eV/f.u.: -2.41
Fermi-level density of states, states/eV/f.u.: 1.2

First-principles (GGA-PBE) data for HfZr2Tl3S6 after structural relaxation, as listed in the Alexandria database.

Unit cell a=6.2632 b=6.2632 c=8.8512 alpha=96.66 beta=96.66 gamma=120.00
Last column: nearest neighbours and their distance in Å.
Atoms (fractional coordinates):
Tl1 0.5000 0.5000 0.5000  6 S 3.47-3.49, 6 Tl 3.61-3.62
Tl2 0.8337 0.1663 0.5000  6 S 3.46-3.50, 6 Tl 3.61-3.62
Tl3 0.1663 0.8337 0.5000  6 S 3.46-3.50, 6 Tl 3.61-3.62
Hf1 0.0000 0.0000 0.0000  6 S 2.56
S1 0.6134 0.9419 0.8231  1 Hf 2.56, 2 Zr 2.60
S2 0.3866 0.0581 0.1769  1 Hf 2.56, 2 Zr 2.60
S3 0.2705 0.2705 0.8230  1 Hf 2.56, 2 Zr 2.60
S4 0.9419 0.6134 0.8231  1 Hf 2.56, 2 Zr 2.60
S5 0.0581 0.3866 0.1769  1 Hf 2.56, 2 Zr 2.60
S6 0.7295 0.7295 0.1770  1 Hf 2.56, 2 Zr 2.60
Zr1 0.3333 0.6667 0.0000  6 S 2.60
Zr2 0.6667 0.3333 0.0000  6 S 2.60

Results
Space group: C2/m, No. 12
Volume, Å³/f.u.: 292.5
Raw total energy, eV per atom: -6.0631
Uncorrected formation energy, meV/atom: -1154
Fermi-level density of states, states/eV/f.u.: 7.5

Question: The highest Fermi-level density of states belongs to which entry?
Answer: Fe3CuSi